# 1
This record from Alexandria describes Rb2LiHg4 after structural relaxation. The functional is PBE-GGA.

abc: 5.3844 5.3844 18.0769
angles: 90.00 90.00 90.00
Space group I4/mmm (No. 139)
One atom of each set of equivalent atoms:
Rb  0.0000  0.0000  0.1439
Li  0.0000  0.0000  0.5000
Hg  0.0000  0.0000  0.3506
Hg  0.0000  0.5000  0.0000

Computed properties:
Uncorrected energy ... -12.7 eV for the cell shown
Formation energy from the elements ... -0.184 eV per atom
Total magnetic moment ... 0.0 μB/f.u.
Crystal system ... tetragonal

# 2
This record from Alexandria describes KMgBeSe after structural relaxation. The functional is PBE-GGA.

abc: 6.3446 3.6808 8.8133
angles: 90.00 103.48 90.00
Space group Cm (No. 8)
One atom of each set of equivalent atoms:
K  0.0000  0.0000  0.0000
Mg  0.0438  0.5000  0.6349
Be  0.2993  0.5000  0.4016
Se  0.4342  0.0000  0.3053

Computed properties:
Offset from the most stable computed form ... 0.059 eV per atom
Uncorrected energy ... -21.6 eV for the cell shown
Uncorrected formation energy ... -220 meV per atom
Total magnetic moment ... 0.3 μB/f.u.
Crystal system ... monoclinic